1.
DFT (PBE-GGA) results for a relaxed CeCdPt crystal.

## Properties
E ... -4.965 eV per atom
Formation energy from the elements ... -669 meV per atom
Total magnetization ... 0.92 μB/cell

Cell lengths 4.787, 4.787, 4.787 Å; angles 60.00, 60.00, 60.00 degrees
Positions (direct):
Ce (0.000, 0.000, 0.000)
Cd (0.500, 0.500, 0.500)
Pt (0.750, 0.750, 0.750)

---

2.
DFT (PBE-GGA) results for a relaxed Sc2CrRh crystal.

## Properties
E ... -7.505 eV per atom
Formation energy from the elements ... -96 meV per atom
Polymorph energy (0 for the lowest one) ... 0.2810 eV per atom
Total magnetization ... 3.85 μB/cell

Cell lengths 4.626, 4.626, 4.626 Å; angles 60.00, 60.00, 60.00 degrees
Positions (direct):
Sc (0.000, 0.000, 0.000)
Sc (0.250, 0.250, 0.250)
Cr (0.750, 0.750, 0.750)
Rh (0.500, 0.500, 0.500)

---

3.
DFT (PBE-GGA) results for a relaxed TiFeSiPt crystal.

## Properties
E ... -7.526 eV per atom
Total magnetization ... 1.87 μB/cell
Formation energy without anion corrections ... -0.57 eV per atom

Cell lengths 4.262, 4.262, 4.262 Å; angles 60.00, 60.00, 60.00 degrees
Positions (direct):
Ti (0.000, 0.000, 0.000)
Fe (0.250, 0.250, 0.250)
Si (0.500, 0.500, 0.500)
Pt (0.750, 0.750, 0.750)